Crystalline Ca2WAu at its relaxed geometry. Source: Alexandria via LeMat-Bulk, functional PBE.

The space group is P4/mmm (No. 123) and the conventional cell measures 5.4865, 5.4865 and 3.0489 Å, with angles of 90.00, 90.00 and 90.00 degrees. The asymmetric unit holds Ca at (0.0000, 0.5000, 0.0000), W at (0.0000, 0.0000, 0.5000) and Au at (0.5000, 0.5000, 0.5000).

The value obtained for the total DFT energy (no corrections) is -4.57 eV/atom. The calculation puts the size of the total moment at 0.5 Bohr magnetons per cell. For the energy relative to the elements, the calculation gives 190 kJ/mol of formula units. As for the relative energy among the computed polymorphs: 0.1943 eV/atom.